No. 1
# TcBi3N PBE optimized geometry
data_TcBi3N
_chemical_formula_sum 'Tc1 Bi3 N1'
_cell_length_a 4.861
_cell_length_b 4.861
_cell_length_c 4.861
_cell_angle_alpha 90.00
_cell_angle_beta 90.00
_cell_angle_gamma 90.00
_symmetry_space_group_name_H-M 'P 1'
_symmetry_Int_Tables_number 1
_symmetry_space_group_name_Hall 'P 1'
loop_
_atom_site_label
_atom_site_type_symbol
_atom_site_fract_x
_atom_site_fract_y
_atom_site_fract_z
Tc1 Tc 0.000 0.000 0.000
Bi1 Bi 0.000 0.500 0.500
Bi2 Bi 0.500 0.000 0.500
Bi3 Bi 0.500 0.500 0.000
N1 N 0.500 0.500 0.500
# raw formation energy	4.8	eV/f.u.
# SG	Pm-3m (221)
# magnetization	2.872	μB per cell
# calculated volume	22.971	Å³ per atom

***

No. 2
# BeMoPt2 PBE optimized geometry
data_BeMoPt2
_chemical_formula_sum 'Be1 Mo1 Pt2'
_cell_length_a 3.830
_cell_length_b 3.830
_cell_length_c 3.917
_cell_angle_alpha 90.00
_cell_angle_beta 90.00
_cell_angle_gamma 90.00
_symmetry_space_group_name_H-M 'P 1'
_symmetry_Int_Tables_number 1
_symmetry_space_group_name_Hall 'P 1'
loop_
_atom_site_label
_atom_site_type_symbol
_atom_site_fract_x
_atom_site_fract_y
_atom_site_fract_z
Be1 Be 0.000 0.000 0.000
Mo1 Mo 0.500 0.500 0.000
Pt1 Pt 0.000 0.500 0.500
Pt2 Pt 0.500 0.000 0.500
# E_form	-0.058	eV per atom
# SG	P4/mmm (123)
# magnetization	0.967	μB per cell
# calculated volume	14.361	Å³ per atom

***

No. 3
# BeOsAu2 PBE optimized geometry
data_BeOsAu2
_chemical_formula_sum 'Be1 Os1 Au2'
_cell_length_a 4.854
_cell_length_b 4.854
_cell_length_c 2.773
_cell_angle_alpha 90.00
_cell_angle_beta 90.00
_cell_angle_gamma 111.53
_symmetry_space_group_name_H-M 'P 1'
_symmetry_Int_Tables_number 1
_symmetry_space_group_name_Hall 'P 1'
loop_
_atom_site_label
_atom_site_type_symbol
_atom_site_fract_x
_atom_site_fract_y
_atom_site_fract_z
Be1 Be 0.000 0.000 0.000
Os1 Os 0.500 0.500 0.000
Au1 Au 0.000 0.500 0.500
Au2 Au 0.500 0.000 0.500
# E_form	0.460	eV per atom
# SG	Cmmm (65)
# magnetization	0.044	μB per cell
# calculated volume	15.194	Å³ per atom

***

In order of appearance, VASP energy = -5.114 -6.718 -4.918 eV/atom.
In order of appearance, DOS(E_F) = 0.42 0.85 0.68 states/eV per atom.